Entry 1:
The following is a DFT calculation (PBE) of crystalline CsAl2Tc at its relaxed geometry.

a b c (Å): 6.8248 6.8248 13.3512
angles (deg): 90.00 90.00 90.00
With the nearest neighbours (Å) after each atom.
Fractional positions:
Cs 0.0000 0.2500 0.3750  8 Al 4.16
Cs 0.0000 0.7500 0.6250  8 Al 4.16
Cs 0.5000 0.2500 0.1250  8 Al 4.16
Cs 0.5000 0.7500 0.8750  8 Al 4.16
Al 0.0000 0.0000 0.0000  2 Tc 2.39
Al 0.0000 0.5000 0.0000  2 Tc 2.39
Al 0.2500 0.2500 0.7500  2 Tc 2.39
Al 0.2500 0.7500 0.2500  2 Tc 2.39
Al 0.5000 0.0000 0.5000  2 Tc 2.39
Al 0.5000 0.5000 0.5000  2 Tc 2.39
Al 0.7500 0.2500 0.7500  2 Tc 2.39
Al 0.7500 0.7500 0.2500  2 Tc 2.39
Tc 0.0000 0.2500 0.8750  4 Al 2.39
Tc 0.0000 0.7500 0.1250  4 Al 2.39
Tc 0.5000 0.2500 0.6250  4 Al 2.39
Tc 0.5000 0.7500 0.3750  4 Al 2.39

## Properties
Its space group is I4_1/amd. The formation energy is 61.4 kJ per mole of atoms.

---

Entry 2:
The following is a DFT calculation (PBE) of crystalline Cs2AlTc at its relaxed geometry.

a b c (Å): 12.4713 12.4713 4.8597
angles (deg): 90.00 90.00 90.00
With the nearest neighbours (Å) after each atom.
Fractional positions:
Cs 0.0000 0.0000 0.0000  2 Tc 3.18
Cs 0.0000 0.5000 0.0000  2 Tc 3.18
Cs 0.2500 0.2500 0.7500  2 Tc 3.18
Cs 0.2500 0.7500 0.2500  2 Tc 3.18
Cs 0.5000 0.0000 0.5000  2 Tc 3.18
Cs 0.5000 0.5000 0.5000  2 Tc 3.18
Cs 0.7500 0.2500 0.7500  2 Tc 3.18
Cs 0.7500 0.7500 0.2500  2 Tc 3.18
Al 0.0000 0.2500 0.3750  2 Tc 2.43
Al 0.0000 0.7500 0.6250  2 Tc 2.43
Al 0.5000 0.2500 0.1250  2 Tc 2.43
Al 0.5000 0.7500 0.8750  2 Tc 2.43
Tc 0.0000 0.2500 0.8750  2 Al 2.43
Tc 0.0000 0.7500 0.1250  2 Al 2.43
Tc 0.5000 0.2500 0.6250  2 Al 2.43
Tc 0.5000 0.7500 0.3750  2 Al 2.43

## Properties
Its space group is I4_1/amd. The formation energy is 93.2 kJ per mole of atoms.

---

Entry 3:
The following is a DFT calculation (PBE) of crystalline CsAlTe at its relaxed geometry.

a b c (Å): 4.2225 7.5535 8.9838
angles (deg): 106.98 90.00 106.11
With the nearest neighbours (Å) after each atom.
Fractional positions:
Cs 0.1534 0.3078 0.2067  5 Te 3.89-3.98, 4 Al 4.11-4.29, 2 Cs 4.22
Cs 0.8466 0.6922 0.7933  5 Te 3.89-3.98, 4 Al 4.11-4.29, 2 Cs 4.22
Al 0.0767 0.1553 0.6195  1 Al 2.60, 2 Te 2.74
Al 0.9233 0.8447 0.3805  1 Al 2.60, 2 Te 2.74
Te 0.4182 0.8344 0.1834  2 Al 2.74
Te 0.5818 0.1656 0.8166  2 Al 2.74

## Properties
As for the formation energy without anion corrections: -473 meV/atom. Its space group is P-1. Its energy above the most stable polymorph in this dataset is 16.3 kJ/mol of formula units.

---

Entry 4:
The following is a DFT calculation (PBE) of crystalline CsAlTe2 at its relaxed geometry.

a b c (Å): 5.1111 5.1111 5.2576
angles (deg): 90.00 90.00 90.00
With the nearest neighbours (Å) after each atom.
Fractional positions:
Cs 0.0000 0.0000 0.0000  4 Al 3.61, 8 Te 3.67
Al 0.5000 0.5000 0.0000  4 Cs 3.61, 8 Te 3.67
Te 0.0000 0.5000 0.5000  4 Te 3.61, 4 Al 3.67, 4 Cs 3.67
Te 0.5000 0.0000 0.5000  4 Te 3.61, 4 Al 3.67, 4 Cs 3.67

## Properties
As for the formation energy without anion corrections: -7 meV/atom. Its space group is P4/mmm.

---

Entry 5:
The following is a DFT calculation (PBE) of crystalline CsAlTe2 at its relaxed geometry.

a b c (Å): 6.7631 6.9321 8.0466
angles (deg): 90.07 114.84 90.04
With the nearest neighbours (Å) after each atom.
Fractional positions:
Cs 0.2499 0.2443 0.0001  8 Te 3.97-4.31, 4 Al 4.39-4.40
Cs 0.7501 0.7557 0.9999  8 Te 3.97-4.31, 4 Al 4.39-4.40
Al 0.2499 0.5002 0.4999  4 Te 2.65
Al 0.7501 0.4998 0.5001  4 Te 2.65
Te 0.0953 0.7149 0.6904  2 Al 2.65
Te 0.4055 0.7157 0.3107  2 Al 2.65
Te 0.5945 0.2843 0.6893  2 Al 2.65
Te 0.9047 0.2851 0.3096  2 Al 2.65

## Properties
As for the formation energy without anion corrections: -815 meV/atom. Its space group is P-1.

---

Entry 6:
The following is a DFT calculation (PBE) of crystalline CsAlTe at its relaxed geometry.

a b c (Å): 5.5826 7.0110 8.6212
angles (deg): 70.28 88.98 72.02
With the nearest neighbours (Å) after each atom.
Fractional positions:
Cs 0.0000 0.0000 0.0000  5 Te 3.87-4.22, 1 Al 4.00
Cs 0.4509 0.6710 0.4873  2 Te 3.79-3.82, 6 Al 3.85-4.08
Al 0.0973 0.3011 0.4181  1 Al 2.62, 2 Te 2.69-2.73
Al 0.7672 0.1065 0.4136  1 Al 2.62, 2 Te 2.72-2.73
Te 0.3875 0.3367 0.1638  2 Al 2.69-2.73
Te 0.4742 0.0871 0.6709  2 Al 2.72-2.73

## Properties
As for the formation energy without anion corrections: -478 meV/atom. Its space group is P1. Its energy above the most stable polymorph in this dataset is 14.7 kJ/mol of formula units.

---

Entry 7:
The following is a DFT calculation (PBE) of crystalline CsAlTe2 at its relaxed geometry.

a b c (Å): 6.3787 6.3787 23.6008
angles (deg): 90.00 90.00 120.00
With the nearest neighbours (Å) after each atom.
Fractional positions:
Cs 0.0000 0.0000 0.0000  6 Te 3.98
Cs 0.3333 0.6667 0.6667  6 Te 3.98
Cs 0.6667 0.3333 0.3333  6 Te 3.98
Al 0.0000 0.0000 0.5000  2 Te 2.42
Al 0.3333 0.6667 0.1667  2 Te 2.42
Al 0.6667 0.3333 0.8333  2 Te 2.42
Te 0.0000 0.0000 0.3976  1 Al 2.42
Te 0.0000 0.0000 0.6024  1 Al 2.42
Te 0.3333 0.6667 0.0643  1 Al 2.42
Te 0.3333 0.6667 0.2691  1 Al 2.42
Te 0.6667 0.3333 0.7309  1 Al 2.42
Te 0.6667 0.3333 0.9357  1 Al 2.42

## Properties
As for the formation energy without anion corrections: -427 meV/atom. Its space group is R-3m.

---

Entry 8:
The following is a DFT calculation (PBE) of crystalline CsAlTe2 at its relaxed geometry.

a b c (Å): 4.2328 4.2328 26.6509
angles (deg): 90.00 90.00 120.00
With the nearest neighbours (Å) after each atom.
Fractional positions:
Cs 0.0000 0.0000 0.0000  6 Te 3.81, 6 Cs 4.23
Cs 0.3333 0.6667 0.6667  6 Te 3.81, 6 Cs 4.23
Cs 0.6667 0.3333 0.3333  6 Te 3.81, 6 Cs 4.23
Al 0.0000 0.0000 0.5000  6 Te 2.87
Al 0.3333 0.6667 0.1667  6 Te 2.87
Al 0.6667 0.3333 0.8333  6 Te 2.87
Te 0.0000 0.0000 0.2235  3 Al 2.87
Te 0.0000 0.0000 0.7765  3 Al 2.87
Te 0.3333 0.6667 0.4432  3 Al 2.87
Te 0.3333 0.6667 0.8901  3 Al 2.87
Te 0.6667 0.3333 0.1099  3 Al 2.87
Te 0.6667 0.3333 0.5568  3 Al 2.87

## Properties
As for the formation energy without anion corrections: -624 meV/atom. Its space group is R-3m.

---

Sequential V output: 621.9, 755.9, 262.3, 137.3, 342.3, 300.7, 831.6, 413.6 Å³/cell